(1)
VASP calculation (PBE) on crystalline CaMnPdS2 at its relaxed geometry.

```
data_CaMnPdS2
_chemical_formula_sum 'Ca1 Mn1 Pd1 S2'
_cell_length_a 4.857
_cell_length_b 4.857
_cell_length_c 4.943
_cell_angle_alpha 90.00
_cell_angle_beta 90.00
_cell_angle_gamma 90.00
_space_group_name_H-M_alt 'P 4/m m m'
_space_group_IT_number 123
_space_group_name_Hall '-P 4 2'
loop_
_atom_site_label
_atom_site_type_symbol
_atom_site_fract_x
_atom_site_fract_y
_atom_site_fract_z
Ca1 Ca 0.000 0.000 0.000
Mn1 Mn 0.500 0.500 0.000
Pd1 Pd 0.000 0.000 0.500
S1 S 0.000 0.500 0.500
```

## Properties
Mass density, g/cm³: 3.78
Electronic total energy, eV/atom: -4.740

(2)
VASP calculation (PBE) on crystalline Ca2MnSb4Pd3 at its relaxed geometry.

```
data_Ca2MnSb4Pd3
_chemical_formula_sum 'Ca2 Mn1 Sb4 Pd3'
_cell_length_a 4.490
_cell_length_b 4.490
_cell_length_c 11.433
_cell_angle_alpha 90.00
_cell_angle_beta 90.00
_cell_angle_gamma 90.00
_space_group_name_H-M_alt 'P -4 m 2'
_space_group_IT_number 115
loop_
_space_group_symop_operation_xyz
'x,y,z'
'y,-x,-z'
'-x,-y,z'
'-y,x,-z'
'-x,y,z'
'-y,-x,-z'
'x,-y,z'
'y,x,-z'
loop_
_atom_site_label
_atom_site_type_symbol
_atom_site_fract_x
_atom_site_fract_y
_atom_site_fract_z
Ca1 Ca 0.000 0.500 0.242
Mn1 Mn 0.500 0.500 0.000
Sb1 Sb 0.000 0.000 0.500
Sb2 Sb 0.000 0.500 0.867
Sb3 Sb 0.500 0.500 0.500
Pd1 Pd 0.000 0.000 0.000
Pd2 Pd 0.000 0.500 0.637
```

## Properties
Mass density, g/cm³: 6.78
Electronic total energy, eV/atom: -5.143

(3)
VASP calculation (PBE) on crystalline CaMnPdSe2 at its relaxed geometry.

```
data_CaMnPdSe2
_chemical_formula_sum 'Ca1 Mn1 Pd1 Se2'
_cell_length_a 4.842
_cell_length_b 4.842
_cell_length_c 4.816
_cell_angle_alpha 90.00
_cell_angle_beta 90.00
_cell_angle_gamma 90.00
_space_group_name_H-M_alt 'P 4/m m m'
_space_group_IT_number 123
_space_group_name_Hall '-P 4 2'
loop_
_atom_site_label
_atom_site_type_symbol
_atom_site_fract_x
_atom_site_fract_y
_atom_site_fract_z
Ca1 Ca 0.000 0.000 0.000
Mn1 Mn 0.500 0.500 0.500
Pd1 Pd 0.500 0.500 0.000
Se1 Se 0.000 0.500 0.500
```

## Properties
Mass density, g/cm³: 5.28
Electronic total energy, eV/atom: -5.153

(4)
VASP calculation (PBE) on crystalline Ca2MnSiPd6 at its relaxed geometry.

```
data_Ca2MnSiPd6
_chemical_formula_sum 'Ca2 Mn1 Si1 Pd6'
_cell_length_a 5.572
_cell_length_b 6.233
_cell_length_c 6.579
_cell_angle_alpha 74.09
_cell_angle_beta 65.15
_cell_angle_gamma 63.74
_space_group_name_H-M_alt 'P -1'
_space_group_IT_number 2
loop_
_space_group_symop_operation_xyz
'x,y,z'
'-x,-y,-z'
loop_
_atom_site_label
_atom_site_type_symbol
_atom_site_fract_x
_atom_site_fract_y
_atom_site_fract_z
Ca1 Ca 0.006 0.233 0.252
Mn1 Mn 0.500 0.000 0.500
Si1 Si 0.500 0.500 0.000
Pd1 Pd 0.017 0.678 0.293
Pd2 Pd 0.337 0.917 0.918
Pd3 Pd 0.489 0.326 0.704
```

## Properties
Mass density, g/cm³: 7.20
Electronic total energy, eV/atom: -5.451